(1)
LiAs2Ir | GGA-PBE | optimized geometry

Structure (POSCAR):
```
LiAs2Ir
1.0
-1.464 2.300 5.484
1.464 -2.300 5.484
1.464 2.300 -5.484
Li As Ir
1 2 1
Cartesian
0.000 0.000 0.000
1.464 0.000 3.472
0.000 2.300 2.013
0.000 0.000 5.484
```

Computed properties:
Total energy (eV/atom): -5.184
Energy relative to the lowest polymorph listed for this composition (eV per formula unit): 0.49
Energy of formation (eV/atom): -0.17

***

(2)
Li2AsIr | GGA-PBE | optimized geometry

Structure (POSCAR):
```
Li2AsIr
1.0
2.829 0.000 0.000
0.000 4.075 0.000
-0.020 0.000 4.939
Li As Ir
2 1 1
Cartesian
2.823 0.000 1.182
-0.014 0.000 3.756
1.404 2.038 2.469
1.414 2.038 0.000
```

Computed properties:
Total energy (eV/atom): -4.632
Energy of formation (eV/atom): -0.30

***

(3)
Li2AsIr | GGA-PBE | optimized geometry

Structure (POSCAR):
```
Li2AsIr
1.0
2.674 0.000 0.000
0.000 2.674 0.000
0.000 0.000 8.211
Li As Ir
2 1 1
Cartesian
0.000 0.000 2.023
0.000 0.000 6.187
1.337 1.337 4.105
1.337 1.337 0.000
```

Computed properties:
Total energy (eV/atom): -4.518
Energy of formation (eV/atom): -0.18

***

(4)
Li2AsIr | GGA-PBE | optimized geometry

Structure (POSCAR):
```
Li2AsIr
1.0
1.395 0.805 8.627
-1.395 0.805 8.627
0.000 -1.610 8.627
Li As Ir
2 1 1
Cartesian
0.000 0.000 6.472
0.000 0.000 19.409
0.000 0.000 0.000
0.000 0.000 12.940
```

Computed properties:
Total energy (eV/atom): -4.505
Energy of formation (eV/atom): -0.17

***

- Which value of total energy does entry 4 give?
  -4.505 eV/atom

***

- Which of these has the lowest energy of formation?
  number 2

***

- What is the total energy in the third record?
  -4.518 eV/atom